AcLa5Co3 after structural relaxation, computed with PBE.

The space group is C2/m (No. 12) and the conventional cell measures 12.698, 9.300 and 10.422 Å, with angles of 90.00, 115.45 and 90.00 degrees. The distinct sites, in fractional coordinates, are Ac at (0.235, 0.000, 0.035), La at (0.000, 0.305, 0.000), La at (0.060, 0.500, 0.370), La at (0.100, 0.000, 0.294), La at (0.169, 0.193, 0.661), Co at (0.000, 0.000, 0.000), Co at (0.000, 0.000, 0.500), Co at (0.162, 0.500, 0.174) and Co at (0.168, 0.500, 0.655).

The crystal system is monoclinic. The value obtained for the total DFT energy (no corrections) is -203.75 eV per cell. For the volume, the calculation gives 30.9 A^3/atom.

Ac2La5Co2 after structural relaxation, computed with PBE.

The space group is C2/m (No. 12) and the conventional cell measures 12.335, 5.691 and 8.821 Å, with angles of 90.00, 98.07 and 90.00 degrees. The distinct sites, in fractional coordinates, are Ac at (0.062, 0.000, 0.209), La at (0.000, 0.500, 0.500), La at (0.143, 0.500, 0.938), La at (0.219, 0.000, 0.631) and Co at (0.206, 0.500, 0.662).

The crystal system is monoclinic. The value obtained for the total DFT energy (no corrections) is -94.72 eV per cell. For the volume, the calculation gives 34.1 A^3/atom.

Ac2La3Co after structural relaxation, computed with PBE.

The space group is C2/c (No. 15) and the conventional cell measures 19.048, 6.086 and 7.772 Å, with angles of 90.00, 101.72 and 90.00 degrees. The distinct sites, in fractional coordinates, are Ac at (0.212, 0.000, 0.106), La at (0.000, 0.002, 0.250), La at (0.098, 0.500, 0.049) and Co at (0.000, 0.496, 0.750).

The crystal system is monoclinic. The value obtained for the total DFT energy (no corrections) is -120.09 eV per cell. For the volume, the calculation gives 36.8 A^3/atom.

| no. | ΔH_f (0 K) (eV/f.u.) |
| --- | --- |
| 1 | -0.874 |
| 2 | -0.295 |
| 3 | 0.081 |